# 1
Below is HfBiCl3 after structural relaxation, with properties calculated at the PBE level.

Lattice parameters (Å, degrees): 5.5766 5.5766 5.5766 90.00 90.00 90.00
Space group Pm-3m (No. 221)
Asymmetric unit:
1 Hf 0.0000 0.0000 0.0000 (multiplicity 1)
2 Bi 0.5000 0.5000 0.5000 (multiplicity 1)
3 Cl 0.0000 0.5000 0.5000 (multiplicity 3)

ρ, g/cm3: 4.73
Magnetic moment, μB per atom: 0.29
Offset from the most stable computed form, eV per formula unit: 4.70
Energy relative to the elements, uncorrected, eV/atom: 0.38

# 2
Below is Li2Th2Au3 after structural relaxation, with properties calculated at the PBE level.

Lattice parameters (Å, degrees): 3.8356 23.5712 3.2980 90.00 90.00 90.00
Space group Cmmm (No. 65)
Asymmetric unit:
1 Li 0.0000 0.2183 0.0000 (multiplicity 4)
2 Th 0.0000 0.0841 0.0000 (multiplicity 4)
3 Au 0.0000 0.3288 0.5000 (multiplicity 4)
4 Au 0.0000 0.5000 0.5000 (multiplicity 2)

ρ, g/cm3: 11.91
Magnetic moment, μB per atom: 0.00
Formation enthalpy at 0 K, eV/atom: -0.462